DFT (PBE) results for DySc2Ru9 after structural relaxation.

Cell: 9.083 9.083 9.083 Å, 33.26 33.26 33.26°
Fractional positions:
Dy1 0.000 0.000 0.000
Sc1 0.140 0.140 0.140
Sc2 0.860 0.860 0.860
Ru1 0.073 0.591 0.591
Ru2 0.338 0.338 0.338
Ru3 0.409 0.409 0.927
Ru4 0.409 0.927 0.409
Ru5 0.500 0.500 0.500
Ru6 0.591 0.073 0.591
Ru7 0.591 0.591 0.073
Ru8 0.662 0.662 0.662
Ru9 0.927 0.409 0.409

The energy of formation is -1.9 eV per formula unit. The calculation puts the total energy at -8.551 eV per atom. The value obtained for the volume is 16.72 A^3/atom.



DFT (PBE) results for DySc4Ru5 after structural relaxation.

Cell: 3.251 3.251 16.229 Å, 90.00 90.00 90.00°
Fractional positions:
Dy1 0.000 0.000 0.000
Sc1 0.000 0.000 0.206
Sc2 0.000 0.000 0.402
Sc3 0.000 0.000 0.598
Sc4 0.000 0.000 0.794
Ru1 0.500 0.500 0.109
Ru2 0.500 0.500 0.305
Ru3 0.500 0.500 0.500
Ru4 0.500 0.500 0.695
Ru5 0.500 0.500 0.891

The energy of formation is -4.8 eV per formula unit. The calculation puts the total energy at -8.113 eV per atom. The value obtained for the volume is 17.15 A^3/atom.



DFT (PBE) results for DyScRu after structural relaxation.

Cell: 7.327 7.327 4.163 Å, 90.00 90.00 120.00°
Fractional positions:
Dy1 0.000 0.586 0.000
Dy2 0.414 0.414 0.000
Dy3 0.586 0.000 0.000
Sc1 0.000 0.251 0.500
Sc2 0.251 0.000 0.500
Sc3 0.749 0.749 0.500
Ru1 0.000 0.000 0.000
Ru2 0.333 0.667 0.500
Ru3 0.667 0.333 0.500

The energy of formation is -1.3 eV per formula unit. The calculation puts the total energy at -7.170 eV per atom. The value obtained for the volume is 21.51 A^3/atom.



DFT (PBE) results for TbDyScRu after structural relaxation.

Cell: 7.149 7.149 7.149 Å, 90.00 90.00 90.00°
Fractional positions:
Tb1 0.000 0.000 0.000
Tb2 0.000 0.500 0.500
Tb3 0.500 0.000 0.500
Tb4 0.500 0.500 0.000
Dy1 0.000 0.000 0.500
Dy2 0.000 0.500 0.000
Dy3 0.500 0.000 0.000
Dy4 0.500 0.500 0.500
Sc1 0.250 0.250 0.250
Sc2 0.250 0.750 0.750
Sc3 0.750 0.250 0.750
Sc4 0.750 0.750 0.250
Ru1 0.250 0.250 0.750
Ru2 0.250 0.750 0.250
Ru3 0.750 0.250 0.250
Ru4 0.750 0.750 0.750

The energy of formation is -0.1 eV per formula unit. The calculation puts the total energy at -6.234 eV per atom. The value obtained for the volume is 22.84 A^3/atom.



DFT (PBE) results for DyScTlRu after structural relaxation.

Cell: 3.311 3.311 8.039 Å, 90.00 90.00 90.00°
Fractional positions:
Dy1 0.000 0.000 0.000
Sc1 0.000 0.000 0.597
Tl1 0.500 0.500 0.316
Ru1 0.500 0.500 0.779

The energy of formation is -1.8 eV per formula unit. The calculation puts the total energy at -6.091 eV per atom. The value obtained for the volume is 22.03 A^3/atom.



DFT (PBE) results for DyScTlRu after structural relaxation.

Cell: 6.999 6.999 6.999 Å, 90.00 90.00 90.00°
Fractional positions:
Dy1 0.000 0.000 0.000
Dy2 0.000 0.500 0.500
Dy3 0.500 0.000 0.500
Dy4 0.500 0.500 0.000
Sc1 0.000 0.000 0.500
Sc2 0.000 0.500 0.000
Sc3 0.500 0.000 0.000
Sc4 0.500 0.500 0.500
Tl1 0.250 0.250 0.750
Tl2 0.250 0.750 0.250
Tl3 0.750 0.250 0.250
Tl4 0.750 0.750 0.750
Ru1 0.250 0.250 0.250
Ru2 0.250 0.750 0.750
Ru3 0.750 0.250 0.750
Ru4 0.750 0.750 0.250

The energy of formation is -1.1 eV per formula unit. The calculation puts the total energy at -5.907 eV per atom. The value obtained for the volume is 21.43 A^3/atom.